Crystalline Al2CdAgSn at its relaxed geometry, computed with GGA-PBE.

Cell: 4.8682 4.8682 5.3413 Å, 90.00 90.00 90.00°
Element x y z (fractional)
Al (0.0000, 0.5000, 0.0000)
Al (0.5000, 0.0000, 0.0000)
Cd (0.0000, 0.0000, 0.5000)
Ag (0.0000, 0.0000, 0.0000)
Sn (0.5000, 0.5000, 0.5000)

Properties
- Total magnetic moment: 0.0 Bohr magnetons per cell
- Density of states at the Fermi level: 2.04 states/eV per cell
- E: -2.64 eV per atom

***

Crystalline La2Sm6In3 at its relaxed geometry, computed with GGA-PBE.

Cell: 17.8051 17.8051 17.8051 Å, 165.11 165.11 21.11°
Element x y z (fractional)
La (0.0429, 0.0429, 0.0000)
La (0.9571, 0.9571, 0.0000)
Sm (0.1303, 0.6303, 0.5000)
Sm (0.2143, 0.2143, 0.0000)
Sm (0.3697, 0.8697, 0.5000)
Sm (0.6303, 0.1303, 0.5000)
Sm (0.7857, 0.7857, 0.0000)
Sm (0.8697, 0.3697, 0.5000)
In (0.3054, 0.3054, 0.0000)
In (0.5000, 0.5000, 0.0000)
In (0.6946, 0.6946, 0.0000)

Properties
- Total magnetic moment: 0.0 Bohr magnetons per cell
- Density of states at the Fermi level: 15.38 states/eV per cell
- E: -4.28 eV per atom

***

Crystalline InAgBr2 at its relaxed geometry, computed with GGA-PBE.

Cell: 4.0326 4.0326 8.2375 Å, 90.00 90.00 114.83°
Element x y z (fractional)
In (0.0000, 0.0000, 0.0000)
Ag (0.0000, 0.0000, 0.5000)
Br (0.5000, 0.5000, 0.2793)
Br (0.5000, 0.5000, 0.7207)

Properties
- Total magnetic moment: 0.0 Bohr magnetons per cell
- ΔE_f (raw): -0.379 eV per atom
- Offset from the most stable computed form: 86 meV per atom

***

Crystalline SrLi2IrCl8 at its relaxed geometry, computed with GGA-PBE.

Cell: 6.2758 6.8736 8.2505 Å, 66.84 87.72 80.32°
Element x y z (fractional)
Sr (0.0000, 0.0000, 0.0000)
Li (0.4650, 0.3388, 0.1901)
Li (0.5350, 0.6612, 0.8099)
Ir (0.0000, 0.0000, 0.5000)
Cl (0.0948, 0.2399, 0.2194)
Cl (0.1329, 0.2049, 0.6306)
Cl (0.3388, 0.7905, 0.5300)
Cl (0.4103, 0.7198, 0.0630)
Cl (0.5897, 0.2802, 0.9370)
Cl (0.6612, 0.2095, 0.4700)
Cl (0.8671, 0.7951, 0.3694)
Cl (0.9052, 0.7601, 0.7806)

Properties
- Total magnetic moment: 1.1 Bohr magnetons per cell
- Density of states at the Fermi level: 5.95 states/eV per cell
- ΔE_f (raw): -1.366 eV per atom

***

Crystalline CuSiTcN2 at its relaxed geometry, computed with GGA-PBE.

Cell: 3.5995 3.5995 5.2720 Å, 90.00 90.00 90.00°
Element x y z (fractional)
Cu (0.0000, 0.0000, 0.0000)
Si (0.5000, 0.5000, 0.5000)
Tc (0.0000, 0.0000, 0.5000)
N (0.0000, 0.5000, 0.0000)
N (0.5000, 0.0000, 0.0000)

Properties
- Total magnetic moment: 3.5 Bohr magnetons per cell
- Density of states at the Fermi level: 4.05 states/eV per cell
- ΔE_f (raw): 1.713 eV per atom

***

Crystalline TaZn2 at its relaxed geometry, computed with GGA-PBE.

Cell: 5.0284 5.0284 5.0284 Å, 60.00 60.00 60.00°
Element x y z (fractional)
Ta (0.1250, 0.1250, 0.1250)
Ta (0.8750, 0.8750, 0.8750)
Zn (0.0000, 0.5000, 0.5000)
Zn (0.5000, 0.0000, 0.5000)
Zn (0.5000, 0.5000, 0.0000)
Zn (0.5000, 0.5000, 0.5000)

Properties
- Total magnetic moment: 0.0 Bohr magnetons per cell
- Density of states at the Fermi level: 2.28 states/eV per cell
- E: -4.88 eV per atom

***

Crystalline Li2YCd at its relaxed geometry, computed with GGA-PBE.

Cell: 10.9823 10.9823 10.9823 Å, 157.19 157.19 32.48°
Element x y z (fractional)
Li (0.0561, 0.6250, 0.9311)
Li (0.3750, 0.3061, 0.4311)
Li (0.6939, 0.1250, 0.0689)
Li (0.8750, 0.9439, 0.5689)
Y (0.2500, 0.7500, 0.5000)
Y (0.5000, 0.5000, 0.0000)
Cd (0.0000, 0.0000, 0.0000)
Cd (0.7500, 0.2500, 0.5000)

Properties
- Total magnetic moment: 0.0 Bohr magnetons per cell
- Density of states at the Fermi level: 7.73 states/eV per cell
- Offset from the most stable computed form: 192 meV per atom

***

Crystalline BBr at its relaxed geometry, computed with GGA-PBE.

Cell: 10.9230 10.9230 3.1585 Å, 90.00 90.00 120.00°
Element x y z (fractional)
B (0.0223, 0.4840, 0.2500)
B (0.4617, 0.9776, 0.2500)
B (0.4840, 0.4617, 0.7500)
B (0.5160, 0.5383, 0.2500)
B (0.5383, 0.0223, 0.7500)
B (0.9776, 0.5160, 0.7500)
Br (0.1389, 0.3970, 0.2500)
Br (0.2581, 0.8611, 0.2500)
Br (0.3970, 0.2581, 0.7500)
Br (0.6030, 0.7419, 0.2500)
Br (0.7419, 0.1389, 0.7500)
Br (0.8611, 0.6030, 0.7500)

Properties
- Total magnetic moment: 0.0 Bohr magnetons per cell
- Density of states at the Fermi level: 6.65 states/eV per cell
- ΔE_f (raw): 0.186 eV per atom
- Offset from the most stable computed form: 512 meV per atom

***

Crystalline LaNiAg2 at its relaxed geometry, computed with GGA-PBE.

Cell: 4.3409 4.5223 4.8233 Å, 90.00 110.22 90.00°
Element x y z (fractional)
La (0.0000, 0.0000, 0.0000)
Ni (0.5000, 0.0000, 0.5000)
Ag (0.3330, 0.5000, 0.6939)
Ag (0.6670, 0.5000, 0.3061)

Properties
- Total magnetic moment: 0.0 Bohr magnetons per cell
- Density of states at the Fermi level: 2.40 states/eV per cell
- E: -4.19 eV per atom

***

Crystalline TiAu at its relaxed geometry, computed with GGA-PBE.

Cell: 7.0509 7.0509 7.0509 Å, 109.47 109.47 109.47°
Element x y z (fractional)
Ti (0.0000, 0.0000, 0.7575)
Ti (0.0000, 0.7575, 0.0000)
Ti (0.2425, 0.2425, 0.2425)
Ti (0.7575, 0.0000, 0.0000)
Au (0.0000, 0.0000, 0.3829)
Au (0.0000, 0.3829, 0.0000)
Au (0.3829, 0.0000, 0.0000)
Au (0.6171, 0.6171, 0.6171)

Properties
- Total magnetic moment: 4.2 Bohr magnetons per cell
- Density of states at the Fermi level: 8.89 states/eV per cell
- E: -5.00 eV per atom

***

Crystalline LiAsPbCl2 at its relaxed geometry, computed with GGA-PBE.

Cell: 5.6248 5.6248 5.6702 Å, 90.00 90.00 90.00°
Element x y z (fractional)
Li (0.0000, 0.0000, 0.0000)
As (0.5000, 0.5000, 0.0000)
Pb (0.5000, 0.5000, 0.5000)
Cl (0.0000, 0.5000, 0.5000)
Cl (0.5000, 0.0000, 0.5000)

Properties
- Total magnetic moment: 1.4 Bohr magnetons per cell
- Density of states at the Fermi level: 3.54 states/eV per cell
- ΔE_f (raw): -0.305 eV per atom

***

Crystalline CePu2ScSb4 at its relaxed geometry, computed with GGA-PBE.

Cell: 7.5708 4.3947 7.6065 Å, 90.00 109.51 90.00°
Element x y z (fractional)
Ce (0.0000, 0.0000, 0.0000)
Pu (0.5000, 0.0000, 0.5000)
Pu (0.5000, 0.5000, 0.0000)
Sc (0.0000, 0.5000, 0.5000)
Sb (0.2392, 0.0000, 0.7377)
Sb (0.2449, 0.5000, 0.2583)
Sb (0.7551, 0.5000, 0.7417)
Sb (0.7608, 0.0000, 0.2623)

Properties
- Total magnetic moment: 0.5 Bohr magnetons per cell
- Density of states at the Fermi level: 35.59 states/eV per cell
- ΔE_f (raw): -0.765 eV per atom